<1>
The following is a GGA-PBEsol calculation of a geometry-optimized HgTeP structure, from the Alexandria database.

Spin magnetization ... 0.00 μB/cell

Lattice parameters (Å, degrees): 3.478 3.478 6.627 105.21 105.21 90.00
Positions (direct):
P (0.701, 0.701, 0.402)
Te (0.291, 0.291, 0.583)
Hg (0.008, 0.008, 0.016)

<2>
The following is a GGA-PBEsol calculation of a geometry-optimized HgTeP structure, from the Alexandria database.

Spin magnetization ... 0.00 μB/cell

Lattice parameters (Å, degrees): 3.740 3.740 6.424 106.92 106.92 90.00
Positions (direct):
P (0.563, 0.563, 0.126)
Te (0.357, 0.357, 0.714)
Hg (0.080, 0.080, 0.160)

Most favorable structure: <2>. The second most favorable one is 72 meV per atom above it.

<1>
The following is a GGA-PBEsol calculation of a geometry-optimized TlHgP2 structure, from the Alexandria database.

Spin magnetization ... 0.00 μB/cell

Lattice parameters (Å, degrees): 5.880 5.880 7.214 114.05 114.05 90.00
Positions (direct):
P (0.387, 0.875, 0.250)
P (0.863, 0.375, 0.250)
P (0.125, 0.137, 0.750)
P (0.625, 0.613, 0.750)
Tl (0.250, 0.750, 0.500)
Tl (0.000, 0.000, 0.000)
Hg (0.750, 0.250, 0.500)
Hg (0.500, 0.500, 0.000)

<2>
The following is a GGA-PBEsol calculation of a geometry-optimized TlHgP2 structure, from the Alexandria database.

Spin magnetization ... 0.00 μB/cell

Lattice parameters (Å, degrees): 3.292 3.292 9.435 79.95 79.95 60.00
Positions (direct):
P (0.016, 0.016, 0.951)
P (0.728, 0.728, 0.817)
Tl (0.496, 0.496, 0.513)
Hg (0.260, 0.260, 0.220)

Most favorable structure: <2>. The second most favorable one is 299 meV per atom above it.

<1>
The following is a GGA-PBEsol calculation of a geometry-optimized Y2HgP structure, from the Alexandria database.

Spin magnetization ... 0.00 μB/cell

Lattice parameters (Å, degrees): 3.885 3.885 7.799 75.58 75.58 60.00
Positions (direct):
Y (0.263, 0.263, 0.211)
Y (0.737, 0.737, 0.789)
P (0.000, 0.000, 0.000)
Hg (0.500, 0.500, 0.500)

<2>
The following is a GGA-PBEsol calculation of a geometry-optimized Y2HgP structure, from the Alexandria database.

Spin magnetization ... 0.00 μB/cell

Lattice parameters (Å, degrees): 3.670 4.892 4.906 90.00 90.00 90.00
Positions (direct):
Hg (0.500, 0.500, 0.000)
P (0.500, 0.000, 0.500)
Y (0.000, 0.000, 0.000)
Y (0.000, 0.500, 0.500)

Most favorable structure: <1>. The second most favorable one is 273 meV per atom above it.